# PBEsol BaLiPt, optimized geometry
data_BaLiPt
_chemical_formula_sum 'Ba1 Li1 Pt1'
_cell_length_a 4.429
_cell_length_b 4.429
_cell_length_c 4.391
_cell_angle_alpha 90.00
_cell_angle_beta 90.00
_cell_angle_gamma 120.00
_space_group_name_H-M_alt 'P 1'
_space_group_IT_number 1
loop_
_space_group_symop_operation_xyz
'x,y,z'
loop_
_atom_site_label
_atom_site_type_symbol
_atom_site_fract_x
_atom_site_fract_y
_atom_site_fract_z
Ba1 Ba 0.000 0.000 0.000
Li1 Li 0.667 0.333 0.500
Pt1 Pt 0.333 0.667 0.500
# * energy of formation from the pure elements: -0.429 eV/atom